Density functional theory data (GGA+U) for an optimized crystal structure of MnOF.

Raw total energy, eV/atom: -6.577

Geometry as CIF:
```
data_MnOF
_chemical_formula_sum 'Mn1 O1 F1'
_cell_length_a 2.960
_cell_length_b 3.371
_cell_length_c 4.231
_cell_angle_alpha 73.93
_cell_angle_beta 69.73
_cell_angle_gamma 64.02
_space_group_name_H-M_alt 'P 1'
_space_group_IT_number 1
_space_group_name_Hall 'P 1'
loop_
_atom_site_label
_atom_site_type_symbol
_atom_site_fract_x
_atom_site_fract_y
_atom_site_fract_z
_atom_site_occupancy
Mn1 Mn 0.000 0.000 0.000 1
O1 O 0.264 0.290 0.183 1
F1 F 0.740 0.800 0.717 1
```